Na4CaNp3S8 after structural relaxation. Source: the Alexandria database, functional PBE.

## Properties
ΔE_f (raw)   -2237.7 kJ/mol of formula units

POSCAR file:
```
Na4CaNp3S8
1.0
-0.043 -6.669 -4.543
5.224 3.462 -5.132
1.796 -0.479 7.852
Na Ca Np S
4 1 3 8
direct
0.500 0.000 0.000
0.500 0.000 0.500
0.000 0.000 0.000
0.000 0.000 0.500
0.000 0.500 0.000
0.500 0.500 0.000
0.500 0.500 0.500
0.000 0.500 0.500
0.247 0.726 0.980
0.247 0.726 0.494
0.258 0.276 0.517
0.733 0.726 0.980
0.267 0.274 0.020
0.742 0.724 0.483
0.753 0.274 0.506
0.753 0.274 0.020
```